[1]
Below is crystalline Er2Pu at its relaxed geometry, with properties calculated at the PBE level.

Computed properties:
The total energy is -5.104 eV/atom. For the density, the calculation gives 4.55 g/cm3. Its calculated volume is 70.35 Å³ per atom. The value obtained for the calculated formation energy is 2.647 eV per atom. The total magnetization comes out at 12.8 μB/cell. As for the space-group type: Fd-3m.

POSCAR file:
```
Er2Pu
1.0
-8.106 0.736 -2.157
-5.804 -4.828 3.728
-5.496 3.421 5.384
Er Pu
4 2
Cartesian
-11.330 0.116 1.529
-10.179 -2.666 4.472
-7.277 -0.252 2.608
-10.025 1.459 5.300
-4.851 -0.168 1.739
-9.703 -0.336 3.477
```

---

[2]
Below is crystalline CdCuAgBi at its relaxed geometry, with properties calculated at the PBE level.

Computed properties:
Its energy above the most stable polymorph in this dataset is 0.000 eV per atom. The total energy is -2.675 eV/atom. For the density, the calculation gives 9.78 g/cm3. Its calculated volume is 20.91 Å³ per atom. As for the space-group type: F-43m.

POSCAR file:
```
CdCuAgBi
1.0
0.000 3.471 3.471
3.471 0.000 3.471
3.471 3.471 0.000
Ag Bi Cd Cu
1 1 1 1
Cartesian
1.735 1.735 1.735
0.000 0.000 0.000
3.471 3.471 3.471
5.206 5.206 5.206
```

---

[3]
Below is crystalline PaCoIr at its relaxed geometry, with properties calculated at the PBE level.

Computed properties:
Its energy above the most stable polymorph in this dataset is 0.000 eV per atom. The total energy is -8.873 eV/atom. For the density, the calculation gives 14.51 g/cm3. Its calculated volume is 18.39 Å³ per atom. The value obtained for the calculated formation energy is -0.388 eV per atom. The total magnetization comes out at 0.0 μB/cell. As for the space-group type: F-43m.

POSCAR file:
```
PaCoIr
1.0
0.000 3.022 3.022
3.022 0.000 3.022
3.022 3.022 0.000
Co Ir Pa
1 1 1
Cartesian
0.000 0.000 0.000
1.511 1.511 1.511
4.532 4.532 4.532
```

---

[4]
Below is crystalline NpW at its relaxed geometry, with properties calculated at the PBE level.

Computed properties:
Its energy above the most stable polymorph in this dataset is 1.718 eV per atom. The total energy is -10.622 eV/atom. For the density, the calculation gives 13.68 g/cm3. Its calculated volume is 25.55 Å³ per atom. The value obtained for the calculated formation energy is 2.243 eV per atom. The total magnetization comes out at 1.5 μB/cell. As for the space-group type: F-43m.

POSCAR file:
```
NpW
1.0
0.000 2.945 2.945
2.945 0.000 2.945
2.945 2.945 0.000
Np W
1 1
Cartesian
0.000 0.000 0.000
1.473 1.473 1.473
```

---

[5]
Below is crystalline ZrScCu2Sn2 at its relaxed geometry, with properties calculated at the PBE level.

Computed properties:
The total energy is -5.516 eV/atom. For the density, the calculation gives 7.25 g/cm3. Its calculated volume is 19.12 Å³ per atom. The total magnetization comes out at 0.0 μB/cell. As for the space-group type: P3m1.

POSCAR file:
```
ZrScCu2Sn2
1.0
4.467 0.000 0.000
-2.233 3.868 0.000
0.000 0.000 6.640
Cu Sc Sn Zr
2 1 2 1
Cartesian
0.000 2.579 0.362
2.233 1.289 3.603
0.000 0.000 4.855
0.000 2.579 3.146
2.233 1.289 6.415
0.000 0.000 1.539
```

---

[6]
Below is crystalline SnIr2 at its relaxed geometry, with properties calculated at the PBE level.

Computed properties:
The total energy is -4.276 eV/atom. For the density, the calculation gives 4.09 g/cm3. Its calculated volume is 68.06 Å³ per atom. The total magnetization comes out at 6.1 μB/cell. As for the space-group type: Fd-3m.

POSCAR file:
```
SnIr2
1.0
1.425 -7.957 -2.001
7.751 -3.033 0.253
2.144 -5.461 5.911
Ir Sn
4 2
Cartesian
4.245 -6.169 1.561
4.957 -10.148 0.560
8.121 -7.686 1.687
5.317 -8.899 4.516
2.830 -4.113 1.040
5.660 -8.225 2.081
```

---

[7]
Below is crystalline NdErPb at its relaxed geometry, with properties calculated at the PBE level.

Computed properties:
Its energy above the most stable polymorph in this dataset is 0.000 eV per atom. The total energy is -4.551 eV/atom. For the density, the calculation gives 8.50 g/cm3. Its calculated volume is 33.76 Å³ per atom. The total magnetization comes out at 0.1 μB/cell. As for the space-group type: F-43m.

POSCAR file:
```
NdErPb
1.0
-4.959 -0.984 1.346
-3.384 3.947 0.587
-3.843 0.691 -3.483
Er Nd Pb
1 1 1
Cartesian
-3.047 0.913 -0.388
-9.140 2.740 -1.163
0.000 0.000 0.000
```

---

[8]
Below is crystalline Ta2Ge2Te at its relaxed geometry, with properties calculated at the PBE level.

Computed properties:
Its energy above the most stable polymorph in this dataset is 0.000 eV per atom. The total energy is -7.166 eV/atom. For the density, the calculation gives 11.17 g/cm3. Its calculated volume is 18.87 Å³ per atom. The total magnetization comes out at 0.2 μB/cell. As for the space-group type: I4/mmm.

POSCAR file:
```
Ta2Ge2Te
1.0
-2.946 5.142 4.602
-1.972 7.239 -0.029
0.083 -6.841 -3.080
Ge Ta Te
2 2 1
Cartesian
-2.661 2.246 1.904
-2.174 3.294 -0.412
-1.931 4.860 1.795
-2.987 7.520 2.777
0.000 0.000 0.000
```

---

[9]
Below is crystalline Dy3In3AgPt2 at its relaxed geometry, with properties calculated at the PBE level.

Computed properties:
The total energy is -4.933 eV/atom. For the density, the calculation gives 11.02 g/cm3. Its calculated volume is 22.28 Å³ per atom. The total magnetization comes out at 0.0 μB/cell. As for the space-group type: P-62m.

POSCAR file:
```
Dy3In3AgPt2
1.0
-1.108 -7.610 1.108
3.435 4.268 5.509
-3.422 0.727 1.571
Ag Dy In Pt
1 3 3 2
Cartesian
-1.711 0.363 0.785
-2.361 -4.103 1.435
-0.749 -1.017 3.519
0.305 2.868 4.019
-0.295 -2.024 0.295
0.914 1.135 1.465
1.709 -2.453 4.857
0.407 -3.651 2.575
1.921 0.309 4.042
```

---

[10]
Below is crystalline AlZnNO at its relaxed geometry, with properties calculated at the PBE level.

Computed properties:
Its energy above the most stable polymorph in this dataset is 0.000 eV per atom. The total energy is -6.051 eV/atom. For the density, the calculation gives 4.58 g/cm3. Its calculated volume is 11.10 Å³ per atom. As for the space-group type: Pmc2_1.

POSCAR file:
```
AlZnNO
1.0
0.912 1.782 -2.434
1.095 3.823 3.209
5.143 -1.914 0.526
Al N O Zn
2 2 2 2
Cartesian
2.397 4.383 2.067
5.293 1.190 0.814
2.572 2.825 3.032
3.981 0.185 1.627
1.557 1.977 -0.009
5.819 2.505 1.975
2.352 1.282 1.820
3.360 -1.209 0.374
```

---

[11]
Below is crystalline SmGa2PdPt at its relaxed geometry, with properties calculated at the PBE level.

Computed properties:
Its energy above the most stable polymorph in this dataset is 0.049 eV per atom. The total energy is -5.258 eV/atom. For the density, the calculation gives 10.22 g/cm3. Its calculated volume is 19.22 Å³ per atom. The total magnetization comes out at 0.0 μB/cell. As for the space-group type: P4/nmm.

POSCAR file:
```
SmGa2PdPt
1.0
-1.788 0.587 -3.911
3.899 -0.458 -1.851
-1.559 -10.055 -0.797
Ga Pd Pt Sm
4 2 2 2
Cartesian
1.747 -1.532 -1.029
-0.779 -5.027 -0.399
0.276 -4.963 -3.279
-2.251 -8.458 -2.649
1.373 -3.946 -1.220
-1.876 -6.044 -2.458
0.000 0.000 0.000
1.055 0.065 -2.881
-1.283 -2.215 -2.154
0.779 -7.775 -1.524
```

---

[12]
Below is crystalline Sc2Zn3Mo4C3 at its relaxed geometry, with properties calculated at the PBE level.

Computed properties:
The total energy is -7.605 eV/atom. For the density, the calculation gives 6.90 g/cm3. Its calculated volume is 14.15 Å³ per atom. The total magnetization comes out at 0.0 μB/cell. As for the space-group type: C2/c.

POSCAR file:
```
Sc2Zn3Mo4C3
1.0
4.651 -2.692 0.000
4.651 2.692 0.000
-3.326 0.000 13.566
C Mo Sc Zn
6 8 4 6
Cartesian
2.325 1.346 0.000
5.433 1.357 0.003
2.206 1.357 6.780
0.662 -1.346 6.783
3.769 -1.357 6.786
0.543 -1.357 13.563
6.929 0.424 1.085
0.771 0.502 1.085
6.867 0.502 5.698
0.709 0.424 5.698
5.266 -0.424 7.868
-0.892 -0.502 7.868
5.204 -0.502 12.481
-0.954 -0.424 12.482
3.897 0.435 1.458
3.741 0.435 5.325
2.234 -0.435 8.241
2.078 -0.435 12.108
1.563 -0.836 3.367
3.819 -2.315 3.392
6.075 -0.836 3.416
-0.100 0.836 10.150
2.156 2.315 10.175
4.412 0.836 10.199
```

---

Repeat the tenth record exactly.
Below is crystalline AlZnNO at its relaxed geometry, with properties calculated at the PBE level.

Computed properties:
Its energy above the most stable polymorph in this dataset is 0.000 eV per atom. The total energy is -6.051 eV/atom. For the density, the calculation gives 4.58 g/cm3. Its calculated volume is 11.10 Å³ per atom. As for the space-group type: Pmc2_1.

POSCAR file:
```
AlZnNO
1.0
0.912 1.782 -2.434
1.095 3.823 3.209
5.143 -1.914 0.526
Al N O Zn
2 2 2 2
Cartesian
2.397 4.383 2.067
5.293 1.190 0.814
2.572 2.825 3.032
3.981 0.185 1.627
1.557 1.977 -0.009
5.819 2.505 1.975
2.352 1.282 1.820
3.360 -1.209 0.374
```

---

> What is the formula in the eighth record?

Ta2Ge2Te